# Sr2YRuO

Crystalline Sr2YRuO at its relaxed geometry (PBE, Alexandria).

For the formation energy (no corrections), the calculation gives 0.171 eV/f.u. For the density of states at the Fermi level, the calculation gives 1.142 states/eV per atom.

Lattice parameters (Å, degrees): 6.4355 6.4355 3.7636 90.00 90.00 90.00
Closest atoms and distances in Å follow each position.
Positions (direct):
Sr: 0.0000 0.5000 0.0000  2 Ru 3.22
Sr: 0.5000 0.0000 0.0000  2 Ru 3.22
Y: 0.0000 0.0000 0.5000  8 Sr 3.73, 2 Y 3.76
Ru: 0.5000 0.5000 0.0000  2 O 1.88
O: 0.5000 0.5000 0.5000  2 Ru 1.88

# SrYRu2O8

Crystalline SrYRu2O8 at its relaxed geometry (PBE, Alexandria).

For the formation energy (no corrections), the calculation gives -19.748 eV/f.u. For the density of states at the Fermi level, the calculation gives 0.490 states/eV per atom.

Lattice parameters (Å, degrees): 5.8861 5.8861 7.2197 90.00 90.00 120.00
Closest atoms and distances in Å follow each position.
Positions (direct):
Sr: 0.0000 0.0000 0.0000  6 O 2.66
Y: 0.0000 0.0000 0.5000  6 O 2.25
Ru: 0.3333 0.6667 0.7887  4 O 1.77-1.83
Ru: 0.6667 0.3333 0.2112  4 O 1.77-1.83
O: 0.1622 0.3245 0.7122  1 Ru 1.83
O: 0.1622 0.8378 0.7122  1 Ru 1.83
O: 0.3245 0.1622 0.2878  1 Ru 1.83
O: 0.3333 0.6667 0.0343  1 Ru 1.77
O: 0.6667 0.3333 0.9657  1 Ru 1.77
O: 0.6755 0.8378 0.7122  1 Ru 1.83
O: 0.8378 0.1622 0.2878  1 Ru 1.83
O: 0.8378 0.6755 0.2878  1 Ru 1.83

# Sr2ZnRuO5

Crystalline Sr2ZnRuO5 at its relaxed geometry (PBE, Alexandria).

For the formation energy (no corrections), the calculation gives -16.820 eV/f.u. For the density of states at the Fermi level, the calculation gives 0.011 states/eV per atom.

Lattice parameters (Å, degrees): 7.3415 7.3415 10.2438 90.00 90.00 153.55
Closest atoms and distances in Å follow each position.
Positions (direct):
Sr: 0.1112 0.8888 0.5000  5 O 2.49-2.63
Sr: 0.1302 0.8698 0.1026  8 O 2.51-2.72
Sr: 0.8698 0.1302 0.6026  8 O 2.51-2.72
Sr: 0.8888 0.1112 0.0000  5 O 2.49-2.63
Zn: 0.4536 0.5464 0.2646  3 O 1.91-1.95
Zn: 0.5464 0.4536 0.7646  3 O 1.91-1.95
Ru: 0.2174 0.7826 0.8213  6 O 1.93-2.13
Ru: 0.7826 0.2174 0.3213  6 O 1.93-2.13
O: 0.0734 0.9266 0.8529  2 Zn 1.95, 1 Ru 2.08
O: 0.2819 0.7181 0.4456  2 Ru 2.11
O: 0.3004 0.6996 0.1964  2 Ru 2.13, 1 Zn 2.30
O: 0.3522 0.6478 0.8097  1 Ru 1.93
O: 0.5001 0.4999 0.0902  1 Zn 1.91
O: 0.4999 0.5001 0.5902  1 Zn 1.91
O: 0.6478 0.3522 0.3097  1 Ru 1.93
O: 0.6996 0.3004 0.6964  2 Ru 2.13, 1 Zn 2.30
O: 0.7181 0.2819 0.9456  2 Ru 2.11
O: 0.9266 0.0734 0.3529  2 Zn 1.95, 1 Ru 2.08

# SrZn2Ru2O7

Crystalline SrZn2Ru2O7 at its relaxed geometry (PBE, Alexandria).

For the formation energy (no corrections), the calculation gives -16.003 eV/f.u. For the density of states at the Fermi level, the calculation gives 0.418 states/eV per atom.

Lattice parameters (Å, degrees): 9.5699 9.5699 9.5699 157.51 34.40 154.32
Closest atoms and distances in Å follow each position.
Positions (direct):
Sr: 0.0000 0.0000 0.0000  6 O 2.54-2.80
Zn: 0.2162 0.4913 0.7249  5 O 2.02-2.13
Zn: 0.7664 0.4913 0.2751  5 O 2.02-2.13
Ru: 0.3935 0.0018 0.3917  3 O 1.87-2.02
Ru: 0.6101 0.0018 0.6083  3 O 1.87-2.02
O: 0.1246 0.5103 0.6144  1 Zn 2.02, 2 Ru 2.09-2.17
O: 0.2660 0.9904 0.2756  4 Zn 2.08-2.13, 1 Ru 2.12
O: 0.3946 0.5023 0.8922  2 Ru 1.87
O: 0.5950 0.0950 0.5000  2 Ru 2.02
O: 0.6101 0.5023 0.1078  2 Ru 1.87
O: 0.7148 0.9904 0.7244  4 Zn 2.08-2.13, 1 Ru 2.12
O: 0.8959 0.5103 0.3856  1 Zn 2.02, 2 Ru 2.09-2.17

# Sr6ZnRu2O12

Crystalline Sr6ZnRu2O12 at its relaxed geometry (PBE, Alexandria).

For the formation energy (no corrections), the calculation gives -44.400 eV/f.u. For the density of states at the Fermi level, the calculation gives 0.328 states/eV per atom.

Lattice parameters (Å, degrees): 8.9305 8.9305 6.9089 112.68 112.68 36.94
Closest atoms and distances in Å follow each position.
Positions (direct):
Sr: 0.0488 0.0488 0.3115  5 O 2.49-2.70
Sr: 0.2922 0.2922 0.3724  6 O 2.48-2.76
Sr: 0.3864 0.3864 0.9834  3 O 2.40-2.66
Sr: 0.6136 0.6136 0.0166  3 O 2.40-2.66
Sr: 0.7078 0.7078 0.6276  6 O 2.48-2.76
Sr: 0.9512 0.9512 0.6885  5 O 2.49-2.70
Zn: 0.5000 0.5000 0.5000  6 O 2.08
Ru: 0.1659 0.1659 0.8333  6 O 1.91-2.02
Ru: 0.8341 0.8341 0.1667  6 O 1.91-2.02
O: 0.0000 0.5000 0.0000  2 Ru 2.01
O: 0.1151 0.1151 0.0497  1 Ru 2.01
O: 0.1533 0.6733 0.3253  1 Ru 1.91, 1 Zn 2.08
O: 0.2201 0.2201 0.6215  1 Ru 2.02
O: 0.3267 0.8467 0.6747  1 Ru 1.91, 1 Zn 2.08
O: 0.4432 0.4432 0.7170  1 Zn 2.08
O: 0.5000 0.0000 0.0000  2 Ru 2.01
O: 0.5568 0.5568 0.2830  1 Zn 2.08
O: 0.6733 0.1533 0.3253  1 Ru 1.91, 1 Zn 2.08
O: 0.7799 0.7799 0.3785  1 Ru 2.02
O: 0.8467 0.3267 0.6747  1 Ru 1.91, 1 Zn 2.08
O: 0.8849 0.8849 0.9503  1 Ru 2.01

# Sr2Zn2RuO6

Crystalline Sr2Zn2RuO6 at its relaxed geometry (PBE, Alexandria).

For the formation energy (no corrections), the calculation gives -17.830 eV/f.u. For the density of states at the Fermi level, the calculation gives 0.310 states/eV per atom.

Lattice parameters (Å, degrees): 6.2894 6.2894 6.2894 56.03 56.03 56.03
Closest atoms and distances in Å follow each position.
Positions (direct):
Sr: 0.2071 0.2071 0.2071  3 O 2.51
Sr: 0.7929 0.7929 0.7929  3 O 2.51
Zn: 0.4081 0.4081 0.4081  3 O 1.87
Zn: 0.5919 0.5919 0.5919  3 O 1.87
Ru: 0.0000 0.0000 0.0000  6 O 2.03
O: 0.2191 0.7664 0.7664  1 Zn 1.87, 1 Ru 2.03
O: 0.2336 0.2336 0.7809  1 Zn 1.87, 1 Ru 2.03
O: 0.2336 0.7809 0.2336  1 Zn 1.87, 1 Ru 2.03
O: 0.7664 0.2191 0.7664  1 Zn 1.87, 1 Ru 2.03
O: 0.7664 0.7664 0.2191  1 Zn 1.87, 1 Ru 2.03
O: 0.7809 0.2336 0.2336  1 Zn 1.87, 1 Ru 2.03

# Sr2ZrRu3O12

Crystalline Sr2ZrRu3O12 at its relaxed geometry (PBE, Alexandria).

For the formation energy (no corrections), the calculation gives -29.465 eV/f.u. For the density of states at the Fermi level, the calculation gives 0.506 states/eV per atom.

Lattice parameters (Å, degrees): 7.4619 7.4619 7.4619 58.34 58.34 58.34
Closest atoms and distances in Å follow each position.
Positions (direct):
Sr: 0.1942 0.1942 0.1942  3 O 2.46
Sr: 0.8058 0.8058 0.8058  3 O 2.46
Zr: 0.5000 0.5000 0.5000  6 O 2.13
Ru: 0.0000 0.5000 0.5000  6 O 1.90-1.99
Ru: 0.5000 0.0000 0.5000  6 O 1.90-1.99
Ru: 0.5000 0.5000 0.0000  6 O 1.90-1.99
O: 0.1518 0.5842 0.5842  1 Ru 1.99, 1 Zr 2.13
O: 0.1969 0.1969 0.5697  2 Ru 1.90
O: 0.1969 0.5697 0.1969  2 Ru 1.90
O: 0.4158 0.4158 0.8482  1 Ru 1.99, 1 Zr 2.13
O: 0.4158 0.8482 0.4158  1 Ru 1.99, 1 Zr 2.13
O: 0.4303 0.8031 0.8031  2 Ru 1.90
O: 0.5697 0.1969 0.1969  2 Ru 1.90
O: 0.5842 0.1518 0.5842  1 Ru 1.99, 1 Zr 2.13
O: 0.5842 0.5842 0.1518  1 Ru 1.99, 1 Zr 2.13
O: 0.8031 0.4303 0.8031  2 Ru 1.90
O: 0.8031 0.8031 0.4303  2 Ru 1.90
O: 0.8482 0.4158 0.4158  1 Ru 1.99, 1 Zr 2.13

# SrZrRuO6

Crystalline SrZrRuO6 at its relaxed geometry (PBE, Alexandria).

For the formation energy (no corrections), the calculation gives -18.909 eV/f.u. For the density of states at the Fermi level, the calculation gives 0.615 states/eV per atom.

Lattice parameters (Å, degrees): 5.4030 5.4030 10.6920 90.00 90.00 120.00
Closest atoms and distances in Å follow each position.
Positions (direct):
Sr: 0.0000 0.0000 0.0000  6 O 2.56
Sr: 0.0000 0.0000 0.5000  6 O 2.56
Zr: 0.3333 0.6667 0.2500  6 O 2.11
Zr: 0.6667 0.3333 0.7500  6 O 2.11
Ru: 0.3333 0.6667 0.7500  6 O 1.95
Ru: 0.6667 0.3333 0.2500  6 O 1.95
O: 0.0233 0.3841 0.6469  1 Ru 1.95, 1 Zr 2.11
O: 0.0233 0.6392 0.8531  1 Ru 1.95, 1 Zr 2.11
O: 0.3608 0.3841 0.8531  1 Ru 1.95, 1 Zr 2.11
O: 0.3608 0.9767 0.6469  1 Ru 1.95, 1 Zr 2.11
O: 0.3841 0.0233 0.1469  1 Ru 1.95, 1 Zr 2.11
O: 0.3841 0.3608 0.3531  1 Ru 1.95, 1 Zr 2.11
O: 0.6159 0.6392 0.6469  1 Ru 1.95, 1 Zr 2.11
O: 0.6159 0.9767 0.8531  1 Ru 1.95, 1 Zr 2.11
O: 0.6392 0.0233 0.3531  1 Ru 1.95, 1 Zr 2.11
O: 0.6392 0.6159 0.1469  1 Ru 1.95, 1 Zr 2.11
O: 0.9767 0.3608 0.1469  1 Ru 1.95, 1 Zr 2.11
O: 0.9767 0.6159 0.3531  1 Ru 1.95, 1 Zr 2.11

Number 1 is which compound? Sr2YRuO

Which of these has the lowest formation energy (no corrections)? Sr6ZnRu2O12